1.
First-principles (PBEsol) data for an optimized crystal structure of Mg2ReTc, as listed in the Alexandria database.

Geometry as CIF:
```
data_Mg2ReTc
_chemical_formula_sum 'Mg2 Re1 Tc1'
_cell_length_a 3.038
_cell_length_b 3.038
_cell_length_c 7.226
_cell_angle_alpha 90.00
_cell_angle_beta 90.00
_cell_angle_gamma 90.00
_space_group_name_H-M_alt 'P 4 m m'
_space_group_IT_number 99
loop_
_space_group_symop_operation_xyz
'x,y,z'
'-y,x,z'
'-x,-y,z'
'y,-x,z'
'-x,y,z'
'y,x,z'
'x,-y,z'
'-y,-x,z'
loop_
_atom_site_label
_atom_site_type_symbol
_atom_site_fract_x
_atom_site_fract_y
_atom_site_fract_z
_atom_site_occupancy
Mg1 Mg 0.000 0.000 0.000 1
Mg2 Mg 0.500 0.500 0.307 1
Re1 Re 0.000 0.000 0.561 1
Tc1 Tc 0.500 0.500 0.750 1
```

- Calculated formation energy: 0.05 eV per atom
- Electronic total energy: -6.95 eV per atom
- Density of states at the Fermi level: 1.45 states/eV/f.u.
- M_tot: 0.0 Bohr magnetons per cell
- Polymorph energy (0 for the lowest one): 0.000 eV per atom

2.
First-principles (PBEsol) data for an optimized crystal structure of MgTi2MnO6, as listed in the Alexandria database.

Geometry as CIF:
```
data_MgTi2MnO6
_chemical_formula_sum 'Mg3 Ti6 Mn3 O18'
_cell_length_a 5.0764
_cell_length_b 5.0764
_cell_length_c 13.9376
_cell_angle_alpha 90.00
_cell_angle_beta 90.00
_cell_angle_gamma 120.00
_space_group_name_H-M_alt 'R 3'
_space_group_IT_number 146
_space_group_name_Hall 'R 3'
loop_
_atom_site_label
_atom_site_type_symbol
_atom_site_fract_x
_atom_site_fract_y
_atom_site_fract_z
_atom_site_occupancy
Mg1 Mg 0.0000 0.0000 0.0000 1
Ti1 Ti 0.0000 0.0000 0.4985 1
Ti2 Ti 0.0000 0.0000 0.7899 1
Mn1 Mn 0.0000 0.0000 0.2872 1
O1 O 0.0181 0.6478 0.0655 1
O2 O 0.0408 0.3517 0.5582 1
```

- Energy relative to the elements, uncorrected: -2.685 eV/atom
- Electronic total energy: -8.65 eV per atom
- M_tot: 15.0 Bohr magnetons per cell

3.
First-principles (PBEsol) data for an optimized crystal structure of Ti3HgAs, as listed in the Alexandria database.

Geometry as CIF:
```
data_Ti3HgAs
_chemical_formula_sum 'Ti3 Hg1 As1'
_cell_length_a 4.634
_cell_length_b 4.634
_cell_length_c 4.634
_cell_angle_alpha 90.00
_cell_angle_beta 90.00
_cell_angle_gamma 90.00
_space_group_name_H-M_alt 'P m -3 m'
_space_group_IT_number 221
_space_group_name_Hall '-P 4 2 3'
loop_
_atom_site_label
_atom_site_type_symbol
_atom_site_fract_x
_atom_site_fract_y
_atom_site_fract_z
_atom_site_occupancy
Ti1 Ti 0.000 0.000 0.500 1
Hg1 Hg 0.500 0.500 0.500 1
As1 As 0.000 0.000 0.000 1
```

- Calculated formation energy: 0.03 eV per atom
- Electronic total energy: -6.09 eV per atom
- Density of states at the Fermi level: 5.49 states/eV/f.u.
- M_tot: 0.0 Bohr magnetons per cell

4.
First-principles (PBEsol) data for an optimized crystal structure of Li2RuSe, as listed in the Alexandria database.

Geometry as CIF:
```
data_Li2RuSe
_chemical_formula_sum 'Li2 Ru1 Se1'
_cell_length_a 3.649
_cell_length_b 3.649
_cell_length_c 3.949
_cell_angle_alpha 90.00
_cell_angle_beta 90.00
_cell_angle_gamma 90.00
_space_group_name_H-M_alt 'P 4/m m m'
_space_group_IT_number 123
_space_group_name_Hall '-P 4 2'
loop_
_atom_site_label
_atom_site_type_symbol
_atom_site_fract_x
_atom_site_fract_y
_atom_site_fract_z
_atom_site_occupancy
Li1 Li 0.000 0.500 0.000 1
Ru1 Ru 0.000 0.000 0.500 1
Se1 Se 0.500 0.500 0.500 1
```

- Energy relative to the elements, uncorrected: -0.191 eV/atom
- Electronic total energy: -4.68 eV per atom
- Density of states at the Fermi level: 3.42 states/eV/f.u.
- M_tot: 0.0 Bohr magnetons per cell

5.
First-principles (PBEsol) data for an optimized crystal structure of FeAsPtSe2, as listed in the Alexandria database.

Geometry as CIF:
```
data_FeAsPtSe2
_chemical_formula_sum 'Fe1 As1 Pt1 Se2'
_cell_length_a 4.551
_cell_length_b 4.551
_cell_length_c 4.351
_cell_angle_alpha 90.00
_cell_angle_beta 90.00
_cell_angle_gamma 90.00
_space_group_name_H-M_alt 'P 4/m m m'
_space_group_IT_number 123
_space_group_name_Hall '-P 4 2'
loop_
_atom_site_label
_atom_site_type_symbol
_atom_site_fract_x
_atom_site_fract_y
_atom_site_fract_z
_atom_site_occupancy
Fe1 Fe 0.000 0.000 0.000 1
As1 As 0.000 0.000 0.500 1
Pt1 Pt 0.500 0.500 0.500 1
Se1 Se 0.000 0.500 0.000 1
```

- Energy relative to the elements, uncorrected: 0.616 eV/atom
- Electronic total energy: -5.13 eV per atom
- Density of states at the Fermi level: 4.94 states/eV/f.u.
- M_tot: 0.9 Bohr magnetons per cell

6.
First-principles (PBEsol) data for an optimized crystal structure of MgOs2Pt, as listed in the Alexandria database.

Geometry as CIF:
```
data_MgOs2Pt
_chemical_formula_sum 'Mg1 Os2 Pt1'
_cell_length_a 3.732
_cell_length_b 3.732
_cell_length_c 4.196
_cell_angle_alpha 90.00
_cell_angle_beta 90.00
_cell_angle_gamma 90.00
_space_group_name_H-M_alt 'P 4/m m m'
_space_group_IT_number 123
_space_group_name_Hall '-P 4 2'
loop_
_atom_site_label
_atom_site_type_symbol
_atom_site_fract_x
_atom_site_fract_y
_atom_site_fract_z
_atom_site_occupancy
Mg1 Mg 0.000 0.000 0.000 1
Os1 Os 0.000 0.500 0.500 1
Pt1 Pt 0.500 0.500 0.000 1
```

- Calculated formation energy: 0.18 eV per atom
- Electronic total energy: -8.10 eV per atom
- Density of states at the Fermi level: 3.94 states/eV/f.u.
- M_tot: 0.0 Bohr magnetons per cell

7.
First-principles (PBEsol) data for an optimized crystal structure of Ni2PbW, as listed in the Alexandria database.

Geometry as CIF:
```
data_Ni2PbW
_chemical_formula_sum 'Ni2 Pb1 W1'
_cell_length_a 2.864
_cell_length_b 4.108
_cell_length_c 5.199
_cell_angle_alpha 90.00
_cell_angle_beta 105.88
_cell_angle_gamma 90.00
_space_group_name_H-M_alt 'P 1 m 1'
_space_group_IT_number 6
loop_
_space_group_symop_operation_xyz
'x,y,z'
'x,-y,z'
loop_
_atom_site_label
_atom_site_type_symbol
_atom_site_fract_x
_atom_site_fract_y
_atom_site_fract_z
_atom_site_occupancy
Ni1 Ni 0.000 0.000 0.000 1
Ni2 Ni 0.143 0.500 0.286 1
Pb1 Pb 0.738 0.000 0.476 1
W1 W 0.423 0.500 0.844 1
```

- Calculated formation energy: 0.45 eV per atom
- Electronic total energy: -7.08 eV per atom
- Density of states at the Fermi level: 2.83 states/eV/f.u.
- M_tot: 0.0 Bohr magnetons per cell

8.
First-principles (PBEsol) data for an optimized crystal structure of KNa3Sn, as listed in the Alexandria database.

Geometry as CIF:
```
data_KNa3Sn
_chemical_formula_sum 'K1 Na3 Sn1'
_cell_length_a 5.959
_cell_length_b 5.959
_cell_length_c 5.959
_cell_angle_alpha 90.00
_cell_angle_beta 90.00
_cell_angle_gamma 90.00
_space_group_name_H-M_alt 'P m -3 m'
_space_group_IT_number 221
_space_group_name_Hall '-P 4 2 3'
loop_
_atom_site_label
_atom_site_type_symbol
_atom_site_fract_x
_atom_site_fract_y
_atom_site_fract_z
_atom_site_occupancy
K1 K 0.000 0.000 0.000 1
Na1 Na 0.000 0.500 0.500 1
Sn1 Sn 0.500 0.500 0.500 1
```

- Calculated formation energy: -0.05 eV per atom
- Electronic total energy: -1.97 eV per atom
- Density of states at the Fermi level: 1.84 states/eV/f.u.
- M_tot: 0.0 Bohr magnetons per cell

9.
First-principles (PBEsol) data for an optimized crystal structure of CsICl2, as listed in the Alexandria database.

Geometry as CIF:
```
data_CsICl2
_chemical_formula_sum 'Cs3 I3 Cl6'
_cell_length_a 5.6380
_cell_length_b 5.6380
_cell_length_c 22.2986
_cell_angle_alpha 90.00
_cell_angle_beta 90.00
_cell_angle_gamma 120.00
_space_group_name_H-M_alt 'R -3 m'
_space_group_IT_number 166
_space_group_name_Hall '-R 3 2"'
loop_
_atom_site_label
_atom_site_type_symbol
_atom_site_fract_x
_atom_site_fract_y
_atom_site_fract_z
_atom_site_occupancy
Cs1 Cs 0.0000 0.0000 0.0000 1
I1 I 0.0000 0.0000 0.5000 1
Cl1 Cl 0.0000 0.0000 0.3856 1
```

- Energy relative to the elements, uncorrected: -1.099 eV/atom
- Electronic total energy: -2.78 eV per atom
- Density of states at the Fermi level: 0.00 states/eV/f.u.
- M_tot: 0.0 Bohr magnetons per cell

10.
First-principles (PBEsol) data for an optimized crystal structure of NaCuO2, as listed in the Alexandria database.

Geometry as CIF:
```
data_NaCuO2
_chemical_formula_sum 'Na2 Cu2 O4'
_cell_length_a 6.425
_cell_length_b 2.741
_cell_length_c 6.061
_cell_angle_alpha 90.00
_cell_angle_beta 120.97
_cell_angle_gamma 90.00
_space_group_name_H-M_alt 'C 1 2/m 1'
_space_group_IT_number 12
loop_
_space_group_symop_operation_xyz
'x,y,z'
'-x,-y,-z'
'-x,y,-z'
'x,-y,z'
'x+1/2,y+1/2,z'
'-x+1/2,-y+1/2,-z'
'-x+1/2,y+1/2,-z'
'x+1/2,-y+1/2,z'
loop_
_atom_site_label
_atom_site_type_symbol
_atom_site_fract_x
_atom_site_fract_y
_atom_site_fract_z
_atom_site_occupancy
Na1 Na 0.000 0.000 0.000 1
Cu1 Cu 0.000 0.000 0.500 1
O1 O 0.071 0.500 0.729 1
```

- Energy relative to the elements, uncorrected: -0.986 eV/atom
- Electronic total energy: -5.04 eV per atom
- M_tot: 0.0 Bohr magnetons per cell